1.
{
  "formula": "MnTcPb2",
  "functional": "PBE-GGA",
  "state": "optimized geometry",
  "cell": [[3.4720, 0.0000, 0.0000], [0.0000, 3.4713, 0.0000], [-0.1565, 0.0000, 6.6427]],
  "species": ["Mn", "Tc", "Pb", "Pb"],
  "frac_coords": [[0.0000, 0.0000, 0.0000], [0.0000, 0.0000, 0.5000], [0.4939, 0.5000, 0.2600], [0.5061, 0.5000, 0.7400]],
  "final_energy_ev_per_atom": -6.0999,
  "e_form_ev_per_atom": 0.6381,
  "sg": "P2/m",
  "e_above_lowest_polymorph_mev_per_atom": 323,
  "m_tot_mub_per_fu": 3.67
}

***

2.
{
  "formula": "MnTcPb2",
  "functional": "PBE-GGA",
  "state": "optimized geometry",
  "cell": [[1.7174, -2.7162, 0.0000], [1.7174, 2.7162, 0.0000], [0.0000, 0.0000, 9.0596]],
  "species": ["Mn", "Tc", "Pb", "Pb"],
  "frac_coords": [[0.0000, 0.0000, 0.0000], [0.0000, 0.0000, 0.5000], [0.5000, 0.5000, 0.2567], [0.5000, 0.5000, 0.7433]],
  "final_energy_ev_per_atom": -5.9800,
  "e_form_ev_per_atom": 0.7580,
  "sg": "Cmmm",
  "e_above_lowest_polymorph_mev_per_atom": 443,
  "m_tot_mub_per_fu": 4.25
}

***

3.
{
  "formula": "Mn2TcPb2",
  "functional": "PBE-GGA",
  "state": "optimized geometry",
  "cell": [[-1.6311, 1.6311, 8.5226], [1.6311, -1.6311, 8.5226], [1.6311, 1.6311, -8.5226]],
  "species": ["Mn", "Mn", "Tc", "Pb", "Pb"],
  "frac_coords": [[0.2500, 0.7500, 0.5000], [0.7500, 0.2500, 0.5000], [0.0000, 0.0000, 0.0000], [0.3939, 0.3939, 0.0000], [0.6061, 0.6061, 0.0000]],
  "final_energy_ev_per_atom": -6.3714,
  "e_form_ev_per_atom": 0.8529,
  "sg": "I4/mmm",
  "m_tot_mub_per_fu": 3.21
}

***

4.
{
  "formula": "MnTc2Pb",
  "functional": "PBE-GGA",
  "state": "optimized geometry",
  "cell": [[4.6242, -1.5579, 0.0000], [4.6242, 1.5579, 0.0000], [-1.1387, 0.0000, 4.6276]],
  "species": ["Mn", "Tc", "Tc", "Pb"],
  "frac_coords": [[0.0000, 0.0000, 0.0000], [0.2570, 0.2570, 0.7650], [0.5238, 0.5238, 0.5849], [0.7618, 0.7618, 0.2691]],
  "final_energy_ev_per_atom": -7.9124,
  "e_form_ev_per_atom": 0.4901,
  "sg": "Cm",
  "m_tot_mub_per_fu": 2.49
}

***

5.
{
  "formula": "Mn2TcPb",
  "functional": "PBE-GGA",
  "state": "optimized geometry",
  "cell": [[3.0638, 0.0000, 0.0000], [0.0000, 3.6622, 0.0000], [-0.0073, 0.0000, 5.7560]],
  "species": ["Mn", "Mn", "Tc", "Pb"],
  "frac_coords": [[0.0010, 0.0000, 0.2913], [0.9990, 0.0000, 0.7087], [0.5000, 0.5000, 0.5000], [0.5000, 0.5000, 0.0000]],
  "final_energy_ev_per_atom": -7.6781,
  "e_form_ev_per_atom": 0.4252,
  "sg": "P2/m",
  "m_tot_mub_per_fu": 5.02
}

***

6.
{
  "formula": "MnTcPb2",
  "functional": "PBE-GGA",
  "state": "optimized geometry",
  "cell": [[-3.7879, 3.7879, 3.0778], [3.7879, -3.7879, 3.0778], [3.7879, 3.7879, -3.0778]],
  "species": ["Mn", "Mn", "Tc", "Tc", "Pb", "Pb", "Pb", "Pb"],
  "frac_coords": [[0.0000, 0.0000, 0.0000], [0.7500, 0.2500, 0.5000], [0.2500, 0.7500, 0.5000], [0.5000, 0.5000, 0.0000], [0.1274, 0.6250, 0.0024], [0.3750, 0.3774, 0.5024], [0.6226, 0.1250, 0.9976], [0.8750, 0.8726, 0.4976]],
  "final_energy_ev_per_atom": -5.7891,
  "e_form_ev_per_atom": 0.9490,
  "sg": "I-42d",
  "e_above_lowest_polymorph_mev_per_atom": 634,
  "m_tot_mub_per_fu": 3.33
}

***

7.
{
  "formula": "MnTc2Pb",
  "functional": "PBE-GGA",
  "state": "optimized geometry",
  "cell": [[0.0000, 3.2075, 3.2075], [3.2075, 0.0000, 3.2075], [3.2075, 3.2075, 0.0000]],
  "species": ["Mn", "Tc", "Tc", "Pb"],
  "frac_coords": [[0.0000, 0.0000, 0.0000], [0.5000, 0.5000, 0.5000], [0.7500, 0.7500, 0.7500], [0.2500, 0.2500, 0.2500]],
  "final_energy_ev_per_atom": -7.8120,
  "e_form_ev_per_atom": 0.5904,
  "sg": "F-43m",
  "m_tot_mub_per_fu": 4.00
}

***

8.
{
  "formula": "MnTcPb2",
  "functional": "PBE-GGA",
  "state": "optimized geometry",
  "cell": [[-2.0586, 2.0586, 4.7575], [2.0586, -2.0586, 4.7575], [2.0586, 2.0586, -4.7575]],
  "species": ["Mn", "Tc", "Pb", "Pb"],
  "frac_coords": [[0.0000, 0.0000, 0.0000], [0.7500, 0.2500, 0.5000], [0.2500, 0.7500, 0.5000], [0.5000, 0.5000, 0.0000]],
  "final_energy_ev_per_atom": -6.0400,
  "e_form_ev_per_atom": 0.6980,
  "sg": "I-4m2",
  "e_above_lowest_polymorph_mev_per_atom": 383,
  "m_tot_mub_per_fu": 4.48
}

***

Please write out number 6 again, unchanged.
{
  "formula": "MnTcPb2",
  "functional": "PBE-GGA",
  "state": "optimized geometry",
  "cell": [[-3.7879, 3.7879, 3.0778], [3.7879, -3.7879, 3.0778], [3.7879, 3.7879, -3.0778]],
  "species": ["Mn", "Mn", "Tc", "Tc", "Pb", "Pb", "Pb", "Pb"],
  "frac_coords": [[0.0000, 0.0000, 0.0000], [0.7500, 0.2500, 0.5000], [0.2500, 0.7500, 0.5000], [0.5000, 0.5000, 0.0000], [0.1274, 0.6250, 0.0024], [0.3750, 0.3774, 0.5024], [0.6226, 0.1250, 0.9976], [0.8750, 0.8726, 0.4976]],
  "final_energy_ev_per_atom": -5.7891,
  "e_form_ev_per_atom": 0.9490,
  "sg": "I-42d",
  "e_above_lowest_polymorph_mev_per_atom": 634,
  "m_tot_mub_per_fu": 3.33
}